1.
# Cs2PbCl3F (GGA-PBE, optimized geometry)
# - uncorrected energy (eV/atom) = -3.728
# - V (Å³/atom) = 36.03
# - E_form (uncorrected) (kJ/mol of formula units) = -1281
data_Cs2PbCl3F
_chemical_formula_sum 'Cs2 Pb1 Cl3 F1'
_space_group_name_H-M_alt 'P 1'
_space_group_IT_number 1
_cell_length_a 4.8480
_cell_length_b 5.7453
_cell_length_c 9.8053
_cell_angle_alpha 107.04
_cell_angle_beta 104.31
_cell_angle_gamma 90.00
loop_
_space_group_symop_operation_xyz
'x,y,z'
loop_
_atom_site_label
_atom_site_type_symbol
_atom_site_fract_x
_atom_site_fract_y
_atom_site_fract_z
Cl1 Cl 0.0000 0.5000 0.0000
Cl2 Cl 0.8375 0.8375 0.6749
Pb1 Pb 0.0000 0.0000 0.0000
F1 F 0.5000 0.0000 0.0000
Cl3 Cl 0.1625 0.1625 0.3251
Cs1 Cs 0.6458 0.6458 0.2915
Cs2 Cs 0.3542 0.3542 0.7085

=====

2.
# Cs2PbCl2F2 (GGA-PBE, optimized geometry)
# - uncorrected energy (eV/atom) = -3.985
# - V (Å³/atom) = 31.17
# - E_form (uncorrected) (kJ/mol of formula units) = -1451
data_Cs2PbCl2F2
_chemical_formula_sum 'Cs2 Pb1 Cl2 F2'
_space_group_name_H-M_alt 'P 1'
_space_group_IT_number 1
_cell_length_a 4.9597
_cell_length_b 4.9597
_cell_length_c 9.5393
_cell_angle_alpha 105.07
_cell_angle_beta 105.07
_cell_angle_gamma 90.00
loop_
_space_group_symop_operation_xyz
'x,y,z'
loop_
_atom_site_label
_atom_site_type_symbol
_atom_site_fract_x
_atom_site_fract_y
_atom_site_fract_z
Cl1 Cl 0.1651 0.1651 0.3302
F1 F 0.0000 0.5000 0.0000
Cs1 Cs 0.6350 0.6350 0.2700
Pb1 Pb 0.0000 0.0000 0.0000
Cl2 Cl 0.8349 0.8349 0.6698
F2 F 0.5000 0.0000 0.0000
Cs2 Cs 0.3650 0.3650 0.7300

=====

3.
# Cs2PdCl2F4 (GGA-PBE, optimized geometry)
# - uncorrected energy (eV/atom) = -3.810
# - V (Å³/atom) = 24.32
# - E_form (uncorrected) (kJ/mol of formula units) = -1565
data_Cs2PdCl2F4
_chemical_formula_sum 'Cs2 Pd1 Cl2 F4'
_space_group_name_H-M_alt 'P 1'
_space_group_IT_number 1
_cell_length_a 6.6259
_cell_length_b 6.6259
_cell_length_c 6.6259
_cell_angle_alpha 99.40
_cell_angle_beta 114.73
_cell_angle_gamma 114.73
loop_
_space_group_symop_operation_xyz
'x,y,z'
loop_
_atom_site_label
_atom_site_type_symbol
_atom_site_fract_x
_atom_site_fract_y
_atom_site_fract_z
Cs1 Cs 0.5000 0.2500 0.7500
F1 F 0.6097 0.8049 0.8049
Cl1 Cl 0.0000 0.7282 0.7282
F2 F 0.0000 0.1951 0.8049
Cl2 Cl 0.0000 0.2718 0.2718
Pd1 Pd 0.0000 0.0000 0.0000
F3 F 0.3903 0.1951 0.1951
Cs2 Cs 0.5000 0.7500 0.2500
F4 F 0.0000 0.8049 0.1951

=====

4.
# CsPdCl2F (GGA-PBE, optimized geometry)
# - uncorrected energy (eV/atom) = -3.609
# - V (Å³/atom) = 23.12
# - E_form (uncorrected) (kJ/mol of formula units) = -621
data_CsPdCl2F
_chemical_formula_sum 'Cs1 Pd1 Cl2 F1'
_space_group_name_H-M_alt 'P 1'
_space_group_IT_number 1
_cell_length_a 5.0651
_cell_length_b 5.0651
_cell_length_c 4.5050
_cell_angle_alpha 90.00
_cell_angle_beta 90.00
_cell_angle_gamma 90.00
loop_
_space_group_symop_operation_xyz
'x,y,z'
loop_
_atom_site_label
_atom_site_type_symbol
_atom_site_fract_x
_atom_site_fract_y
_atom_site_fract_z
Cl1 Cl 0.0000 0.5000 0.0000
Pd1 Pd 0.0000 0.0000 0.0000
F1 F 0.0000 0.0000 0.5000
Cs1 Cs 0.5000 0.5000 0.5000
Cl2 Cl 0.5000 0.0000 0.0000

=====

5.
# CsPdClF2 (GGA-PBE, optimized geometry)
# - uncorrected energy (eV/atom) = -3.840
# - V (Å³/atom) = 20.36
# - E_form (uncorrected) (kJ/mol of formula units) = -730
data_CsPdClF2
_chemical_formula_sum 'Cs1 Pd1 Cl1 F2'
_space_group_name_H-M_alt 'P 1'
_space_group_IT_number 1
_cell_length_a 4.5814
_cell_length_b 4.5814
_cell_length_c 4.8493
_cell_angle_alpha 90.00
_cell_angle_beta 90.00
_cell_angle_gamma 90.00
loop_
_space_group_symop_operation_xyz
'x,y,z'
loop_
_atom_site_label
_atom_site_type_symbol
_atom_site_fract_x
_atom_site_fract_y
_atom_site_fract_z
Pd1 Pd 0.0000 0.0000 0.0000
F1 F 0.5000 0.0000 0.0000
Cs1 Cs 0.5000 0.5000 0.5000
Cl1 Cl 0.0000 0.0000 0.5000
F2 F 0.0000 0.5000 0.0000

=====

6.
# CsPm2Cl2F5 (GGA-PBE, optimized geometry)
# - uncorrected energy (eV/atom) = -5.610
# - V (Å³/atom) = 18.84
# - E_form (uncorrected) (kJ/mol of formula units) = -3154
data_CsPm2Cl2F5
_chemical_formula_sum 'Cs2 Pm4 Cl4 F10'
_space_group_name_H-M_alt 'P 1'
_space_group_IT_number 1
_cell_length_a 3.6114
_cell_length_b 10.2142
_cell_length_c 10.2142
_cell_angle_alpha 90.00
_cell_angle_beta 90.00
_cell_angle_gamma 90.00
loop_
_space_group_symop_operation_xyz
'x,y,z'
loop_
_atom_site_label
_atom_site_type_symbol
_atom_site_fract_x
_atom_site_fract_y
_atom_site_fract_z
Pm1 Pm 0.0000 0.6271 0.8729
Cl1 Cl 0.0000 0.1640 0.3360
Pm2 Pm 0.0000 0.1271 0.6271
F1 F 0.5000 0.4202 0.2639
Cl2 Cl 0.0000 0.3360 0.8360
Pm3 Pm 0.0000 0.3729 0.1271
Cs1 Cs 0.0000 0.5000 0.5000
F2 F 0.5000 0.2639 0.5798
Pm4 Pm 0.0000 0.8729 0.3729
Cl3 Cl 0.0000 0.6640 0.1640
F3 F 0.5000 0.5000 0.0000
F4 F 0.5000 0.9202 0.2361
Cs2 Cs 0.0000 0.0000 0.0000
F5 F 0.5000 0.0000 0.5000
F6 F 0.5000 0.7361 0.4202
F7 F 0.5000 0.0798 0.7639
F8 F 0.5000 0.5798 0.7361
F9 F 0.5000 0.2361 0.0798
Cl4 Cl 0.0000 0.8360 0.6640
F10 F 0.5000 0.7639 0.9202

=====

7.
# Cs2PtCl2F4 (GGA-PBE, optimized geometry)
# - uncorrected energy (eV/atom) = -3.962
# - V (Å³/atom) = 24.67
# - E_form (uncorrected) (kJ/mol of formula units) = -1615
data_Cs2PtCl2F4
_chemical_formula_sum 'Cs2 Pt1 Cl2 F4'
_space_group_name_H-M_alt 'P 1'
_space_group_IT_number 1
_cell_length_a 6.6631
_cell_length_b 6.6631
_cell_length_c 6.6631
_cell_angle_alpha 98.90
_cell_angle_beta 115.00
_cell_angle_gamma 115.00
loop_
_space_group_symop_operation_xyz
'x,y,z'
loop_
_atom_site_label
_atom_site_type_symbol
_atom_site_fract_x
_atom_site_fract_y
_atom_site_fract_z
F1 F 0.6069 0.8035 0.8035
Cl1 Cl 0.0000 0.2692 0.2692
Cl2 Cl 0.0000 0.7308 0.7308
Cs1 Cs 0.5000 0.2500 0.7500
F2 F 0.3931 0.1965 0.1965
F3 F 0.0000 0.1965 0.8035
F4 F 0.0000 0.8035 0.1965
Cs2 Cs 0.5000 0.7500 0.2500
Pt1 Pt 0.0000 0.0000 0.0000

=====

8.
# CsPuClF6 (GGA-PBE, optimized geometry)
# - uncorrected energy (eV/atom) = -5.780
# - V (Å³/atom) = 26.35
# - E_form (uncorrected) (kJ/mol of formula units) = -2293
data_CsPuClF6
_chemical_formula_sum 'Cs1 Pu1 Cl1 F6'
_space_group_name_H-M_alt 'P 1'
_space_group_IT_number 1
_cell_length_a 5.2498
_cell_length_b 7.2220
_cell_length_c 7.2220
_cell_angle_alpha 120.00
_cell_angle_beta 90.00
_cell_angle_gamma 90.00
loop_
_space_group_symop_operation_xyz
'x,y,z'
loop_
_atom_site_label
_atom_site_type_symbol
_atom_site_fract_x
_atom_site_fract_y
_atom_site_fract_z
Pu1 Pu 0.5000 0.0000 0.0000
F1 F 0.7277 0.0173 0.2401
F2 F 0.2723 0.2227 0.2401
Cs1 Cs 0.0000 0.3333 0.6667
F3 F 0.7277 0.7599 0.7773
F4 F 0.2723 0.7599 0.9827
F5 F 0.2723 0.0173 0.7773
F6 F 0.7277 0.2227 0.9827
Cl1 Cl 0.5000 0.6667 0.3333

=====

9.
# Cs2PuCl2F4 (GGA-PBE, optimized geometry)
# - uncorrected energy (eV/atom) = -5.815
# - V (Å³/atom) = 28.66
# - E_form (uncorrected) (kJ/mol of formula units) = -2423
data_Cs2PuCl2F4
_chemical_formula_sum 'Cs2 Pu1 Cl2 F4'
_space_group_name_H-M_alt 'P 1'
_space_group_IT_number 1
_cell_length_a 7.0907
_cell_length_b 7.0907
_cell_length_c 7.0907
_cell_angle_alpha 92.86
_cell_angle_beta 118.36
_cell_angle_gamma 118.36
loop_
_space_group_symop_operation_xyz
'x,y,z'
loop_
_atom_site_label
_atom_site_type_symbol
_atom_site_fract_x
_atom_site_fract_y
_atom_site_fract_z
Cl1 Cl 0.0000 0.7285 0.7285
F1 F 0.0000 0.2067 0.7933
Cs1 Cs 0.5000 0.7500 0.2500
Pu1 Pu 0.0000 0.0000 0.0000
F2 F 0.5865 0.7933 0.7933
F3 F 0.0000 0.7933 0.2067
Cs2 Cs 0.5000 0.2500 0.7500
Cl2 Cl 0.0000 0.2715 0.2715
F4 F 0.4135 0.2067 0.2067

=====

10.
# Cs2Pu3ClF12 (GGA-PBE, optimized geometry)
# - uncorrected energy (eV/atom) = -7.029
# - V (Å³/atom) = 21.95
# - E_form (uncorrected) (kJ/mol of formula units) = -5549
data_Cs2Pu3ClF12
_chemical_formula_sum 'Cs2 Pu3 Cl1 F12'
_space_group_name_H-M_alt 'P 1'
_space_group_IT_number 1
_cell_length_a 7.9089
_cell_length_b 7.9089
_cell_length_c 7.9089
_cell_angle_alpha 65.99
_cell_angle_beta 65.99
_cell_angle_gamma 65.99
loop_
_space_group_symop_operation_xyz
'x,y,z'
loop_
_atom_site_label
_atom_site_type_symbol
_atom_site_fract_x
_atom_site_fract_y
_atom_site_fract_z
F1 F 0.4874 0.8468 0.8468
F2 F 0.2895 0.8806 0.2895
F3 F 0.1532 0.5126 0.1532
F4 F 0.2895 0.2895 0.8806
Cl1 Cl 0.0000 0.0000 0.0000
F5 F 0.8468 0.4874 0.8468
Pu1 Pu 0.0000 0.0000 0.5000
F6 F 0.1194 0.7105 0.7105
F7 F 0.8806 0.2895 0.2895
F8 F 0.7105 0.1194 0.7105
Pu2 Pu 0.0000 0.5000 0.0000
Cs1 Cs 0.3928 0.3928 0.3928
F9 F 0.5126 0.1532 0.1532
F10 F 0.1532 0.1532 0.5126
Pu3 Pu 0.5000 0.0000 0.0000
Cs2 Cs 0.6072 0.6072 0.6072
F11 F 0.8468 0.8468 0.4874
F12 F 0.7105 0.7105 0.1194

=====

11.
# Cs2PuCl2F2 (GGA-PBE, optimized geometry)
# - uncorrected energy (eV/atom) = -5.744
# - V (Å³/atom) = 31.04
# - E_form (uncorrected) (kJ/mol of formula units) = -1615
data_Cs2PuCl2F2
_chemical_formula_sum 'Cs2 Pu1 Cl2 F2'
_space_group_name_H-M_alt 'P 1'
_space_group_IT_number 1
_cell_length_a 4.9095
_cell_length_b 4.9095
_cell_length_c 9.6598
_cell_angle_alpha 104.72
_cell_angle_beta 104.72
_cell_angle_gamma 90.00
loop_
_space_group_symop_operation_xyz
'x,y,z'
loop_
_atom_site_label
_atom_site_type_symbol
_atom_site_fract_x
_atom_site_fract_y
_atom_site_fract_z
F1 F 0.0000 0.5000 0.0000
F2 F 0.5000 0.0000 0.0000
Pu1 Pu 0.0000 0.0000 0.0000
Cs1 Cs 0.3593 0.3593 0.7186
Cs2 Cs 0.6407 0.6407 0.2814
Cl1 Cl 0.1602 0.1602 0.3205
Cl2 Cl 0.8398 0.8398 0.6795

=====

The theoretical density results, record by record, are as follows: 3.9; 4.4; 3.9; 4.7; 5.1; 5.2; 4.5; 3.7; 4.2; 5.3; 4.7 g/cm³.